A geometry-optimized CeGe12Pt4 structure. Source: the Alexandria database, functional PBE.

Properties
- SG = Im-3 (204)
- uncorrected energy (eV per cell) = -92.32
- V (Å³/atom) = 19.41
- density of states at the Fermi level (states/eV/cell) = 13.86

```
17
Lattice="-5.4842 4.3177 2.8517 -2.9271 -6.5201 -2.4023 5.1498 -1.3708 5.3340" Properties=species:S:1:pos:R:3 pbc="T T T"
Ce 0.0000 0.0000 0.0000
Ge 1.8416 -0.9667 5.0534
Ge -5.1030 -2.6064 0.7299
Ge -0.6197 -1.6112 5.1849
Ge -2.6418 -1.9619 0.5984
Ge -1.7843 -5.1476 0.4255
Ge -1.4771 1.5745 5.3578
Ge -1.8822 -4.2853 2.8207
Ge -1.3792 0.7122 2.9626
Ge -4.6479 1.0850 2.6614
Ge 1.3864 -4.6581 3.1219
Ge -3.9975 -1.2240 3.5192
Ge 0.7360 -2.3491 2.2641
Pt 2.5749 -0.6854 2.6670
Pt -2.7421 2.1589 1.4258
Pt -1.4635 -3.2601 -1.2012
Pt -1.6307 -1.7866 2.8917
```

=====

A geometry-optimized Ce3Ge7Pt2 structure. Source: the Alexandria database, functional PBE.

Properties
- SG = P2/m (10)
- uncorrected energy (eV per cell) = -70.84
- V (Å³/atom) = 20.56
- density of states at the Fermi level (states/eV/cell) = 13.14

```
12
Lattice="-0.3245 -4.0708 1.4664 2.7354 0.9629 3.2786 -11.4279 3.0005 5.8005" Properties=species:S:1:pos:R:3 pbc="T T T"
Ce 1.2054 -1.5539 2.3725
Ce -3.6715 1.2806 2.7426
Ce -5.0210 2.6828 6.3364
Ge -3.3307 0.0193 5.7359
Ge -5.6864 -0.1266 4.8095
Ge -0.1828 1.1114 3.0449
Ge 0.0000 0.0000 0.0000
Ge -8.5097 2.8520 6.0342
Ge -7.1714 1.3531 8.5887
Ge -1.8457 -1.4605 1.9567
Pt -1.4666 -0.6567 4.2718
Pt -7.5505 0.5494 6.2736
```

=====

A geometry-optimized CeGePt3 structure. Source: the Alexandria database, functional PBE.

Properties
- SG = I4mm (107)
- uncorrected energy (eV per cell) = -33.20
- V (Å³/atom) = 19.01
- relative energy among the computed polymorphs (meV per atom) = 0.0
- density of states at the Fermi level (states/eV/cell) = 4.45

```
5
Lattice="0.4071 3.2777 2.3900 -1.5057 -2.1089 3.1486 4.7322 -1.0935 4.1715" Properties=species:S:1:pos:R:3 pbc="T T T"
Ce 4.3092 -0.1616 5.4177
Ge 1.9062 -2.3954 5.4134
Pt 0.7911 -0.3374 6.2581
Pt 1.3412 -0.9223 3.4891
Pt -0.2021 1.2717 4.2204
```

=====

A geometry-optimized Ce4Ge3Pt structure. Source: the Alexandria database, functional PBE.

Properties
- SG = Pmm2 (25)
- uncorrected energy (eV per cell) = -50.00
- V (Å³/atom) = 24.46
- density of states at the Fermi level (states/eV/cell) = 19.00

```
8
Lattice="-2.3388 2.7511 -2.1948 -1.3053 -3.0980 -2.4922 -8.5439 -1.8545 6.7799" Properties=species:S:1:pos:R:3 pbc="T T T"
Ce -4.8630 -0.8335 0.0696
Ce -8.0102 -3.1460 4.5924
Ce -1.1739 -0.2548 0.9315
Ce -6.6445 0.1871 3.2472
Ge -5.6295 -2.6293 2.7032
Ge -3.5678 -0.7744 2.8311
Ge -9.0411 -0.3331 5.1491
Pt -2.5337 -0.3279 -1.7788
```

=====

A geometry-optimized CeGe2Pt3 structure. Source: the Alexandria database, functional PBE.

Properties
- SG = C2/m (12)
- uncorrected energy (eV per cell) = -114.95
- V (Å³/atom) = 18.44
- density of states at the Fermi level (states/eV/cell) = 17.70

```
18
Lattice="-1.3429 -0.2857 -3.8650 7.6066 -4.0029 -0.1705 -6.8428 -6.9036 2.8878" Properties=species:S:1:pos:R:3 pbc="T T T"
Ce -2.5730 -6.0911 1.3442
Ce 1.9939 -5.1011 -2.4920
Ce 0.0000 0.0000 0.0000
Ge 1.8642 -2.5485 -0.4593
Ge -2.4433 -8.6437 -0.6885
Ge 4.8381 -5.3528 -1.2852
Ge -5.4172 -5.8394 0.1375
Ge 1.2470 -6.8154 0.0706
Ge -1.8260 -4.3768 -1.2184
Pt -1.7051 -2.6081 0.7852
Pt 1.1260 -8.5841 -1.9330
Pt 0.4392 -4.5251 0.1819
Pt -1.0183 -6.6671 -1.3297
Pt -0.3897 -2.3704 -1.8657
Pt -0.1894 -8.8218 0.7180
Pt -4.0928 -3.5946 -0.4886
Pt 4.2126 -2.9616 -1.2447
Pt -4.7917 -8.2306 0.0969
```

=====

A geometry-optimized Ce3Ge2Pt structure. Source: the Alexandria database, functional PBE.

Properties
- SG = Pnma (62)
- uncorrected energy (eV per cell) = -152.62
- V (Å³/atom) = 24.70
- density of states at the Fermi level (states/eV/cell) = 52.06

```
24
Lattice="4.3374 0.0000 0.0000 0.0000 11.3951 0.0000 0.0000 0.0000 11.9924" Properties=species:S:1:pos:R:3 pbc="T T T"
Ce 1.0844 4.3088 0.5915
Ce 3.2531 7.0862 11.4009
Ce 3.2531 10.0064 5.4047
Ce 1.0844 1.3887 6.5877
Ce 1.0844 7.9449 2.6421
Ce 3.2531 3.4502 9.3503
Ce 3.2531 2.2474 3.3541
Ce 1.0844 9.1477 8.6383
Ce 1.0844 5.0029 4.5269
Ce 3.2531 6.3921 7.4655
Ce 3.2531 10.7005 1.4693
Ce 1.0844 0.6946 10.5231
Ge 1.0844 7.9003 5.8459
Ge 3.2531 3.4947 6.1465
Ge 3.2531 2.2028 0.1503
Ge 1.0844 9.1923 11.8421
Ge 1.0844 11.2985 3.6866
Ge 3.2531 0.0966 8.3058
Ge 3.2531 5.6010 2.3096
Ge 1.0844 5.7941 9.6828
Pt 1.0844 1.4385 1.5078
Pt 3.2531 9.9566 10.4846
Pt 3.2531 7.1360 4.4884
Pt 1.0844 4.2591 7.5040
```

=====

A geometry-optimized Ce2GePt6 structure. Source: the Alexandria database, functional PBE.

Properties
- SG = P-3m1 (164)
- uncorrected energy (eV per cell) = -61.10
- V (Å³/atom) = 18.77
- relative energy among the computed polymorphs (meV per atom) = 0.0
- density of states at the Fermi level (states/eV/cell) = 10.52

```
9
Lattice="5.9831 -0.0284 -0.0164 0.0260 5.7093 0.0057 0.0260 2.8494 4.9475" Properties=species:S:1:pos:R:3 pbc="T T T"
Ce 4.9953 5.6822 3.2885
Ce 1.0399 2.8481 1.6483
Ge 0.0000 0.0000 0.0000
Pt 1.8836 4.3223 4.0891
Pt 1.8956 7.0704 4.0918
Pt 1.8836 5.6989 1.7104
Pt 4.1516 4.2081 0.8477
Pt 4.1396 1.4600 0.8449
Pt 4.1516 2.8315 3.2263
```

=====

A geometry-optimized Ce2Ge2Pt structure. Source: the Alexandria database, functional PBE.

Properties
- SG = C2/m (12)
- uncorrected energy (eV per cell) = -63.51
- V (Å³/atom) = 22.23
- density of states at the Fermi level (states/eV/cell) = 17.17

```
10
Lattice="-1.5611 1.0073 -3.9850 -5.7578 0.4757 -0.0496 0.2561 9.7172 -0.0697" Properties=species:S:1:pos:R:3 pbc="T T T"
Ce -2.7336 4.0342 -2.7605
Ce -2.7333 9.6672 -3.7624
Ce -4.3293 7.1660 -1.3438
Ce -4.3296 1.5330 -0.3419
Ge -1.5523 5.6033 -0.4011
Ge -5.5819 9.6576 -2.6488
Ge -5.5105 5.5969 -3.7032
Ge -1.4810 1.5426 -1.4555
Pt -1.4669 7.1327 -2.4736
Pt -5.5960 4.0676 -1.6307
```